InIr2Os (PBE, relaxed); crystal system = orthorhombic; ΔH_f (0 K) = 0.219 eV/atom; D(E_F) = 4.35 states/eV/f.u.; electronic total energy = -7.703 eV/atom
1.0
4.808 0.000 0.000
-1.399 4.600 0.000
0.000 0.000 2.836
Ir Os In
2 1 1
Direct
0.000 0.000 0.000 Ir
0.500 0.500 0.000 Ir
0.500 0.000 0.500 Os
0.000 0.500 0.500 In